Material: Sc2Mo2O
Method: DFT, GGA+U
State: optimized geometry

* calculated total energy: -5.958 eV per atom
* magnetic moment: 0.000 μB per atom
* volume: 187.9 Å³ per cell
* crystal system: tetragonal

Lattice parameters (Å, degrees): 3.4852 3.4852 15.4661 90.00 90.00 90.00
With the nearest neighbours (Å) after each atom.
Space group I4/mmm (No. 139)
One atom of each set of equivalent atoms:
Sc (0.0000, 0.0000, 0.0945) [4 per cell]  4 O 2.86, 1 Sc 2.92, 4 Mo 2.97
Mo (0.0000, 0.5000, 0.2500) [4 per cell]  4 Mo 2.46
O (0.0000, 0.0000, 0.5000) [2 per cell]  8 Sc 2.86